[1]
CaCuOF2 PBE relaxed; DOS(E_F) = 1.6 states/eV/cell; raw formation energy = -2.091 eV/atom; space-group type = No. 123; magnetic moment = 0.00 μB per formula unit
1.0
3.978 0.000 0.000
0.000 3.978 0.000
0.000 0.000 3.907
Ca Cu O F
1 1 1 2
Direct
0.000 0.000 0.000
0.500 0.500 0.500
0.500 0.500 0.000
0.000 0.500 0.500
0.500 0.000 0.500

=====

[2]
Ac4YEr3Bi8 PBE relaxed; DOS(E_F) = 3.2 states/eV/cell; space-group type = No. 166; magnetic moment = 0.00 μB per formula unit; formation enthalpy at 0 K = -0.901 eV per atom
1.0
4.677 2.700 7.608
-4.677 2.700 7.608
0.000 -5.400 7.608
Ac Y Er Bi
4 1 3 8
Direct
0.000 0.000 0.000
0.000 0.500 0.500
0.500 0.000 0.500
0.500 0.500 0.000
0.500 0.500 0.500
0.000 0.000 0.500
0.000 0.500 0.000
0.500 0.000 0.000
0.241 0.742 0.742
0.242 0.242 0.242
0.258 0.258 0.759
0.258 0.759 0.258
0.742 0.241 0.742
0.742 0.742 0.241
0.758 0.758 0.758
0.759 0.258 0.258

=====

[3]
V6PdC PBE relaxed; DOS(E_F) = 8.4 states/eV/cell; space-group type = No. 2; magnetic moment = 0.00 μB per formula unit; formation enthalpy at 0 K = -0.117 eV per atom
1.0
4.446 0.000 0.000
-0.147 4.972 0.000
-1.727 -0.684 4.698
V Pd C
6 1 1
Direct
0.058 0.303 0.148
0.200 0.851 0.429
0.419 0.412 0.738
0.581 0.588 0.262
0.800 0.149 0.571
0.942 0.697 0.852
0.500 0.000 0.000
0.000 0.500 0.500

=====

[4]
YErAlRh PBE relaxed; DOS(E_F) = 10.5 states/eV/cell; space-group type = No. 216; magnetic moment = 0.00 μB per formula unit; formation enthalpy at 0 K = -0.579 eV per atom
1.0
7.037 0.000 0.000
0.000 7.037 0.000
0.000 0.000 7.037
Y Er Al Rh
4 4 4 4
Direct
0.000 0.000 0.000
0.000 0.500 0.500
0.500 0.000 0.500
0.500 0.500 0.000
0.000 0.000 0.500
0.000 0.500 0.000
0.500 0.000 0.000
0.500 0.500 0.500
0.250 0.250 0.250
0.250 0.750 0.750
0.750 0.250 0.750
0.750 0.750 0.250
0.250 0.250 0.750
0.250 0.750 0.250
0.750 0.250 0.250
0.750 0.750 0.750

=====

[5]
Mn3CdCu PBE relaxed; DOS(E_F) = 5.3 states/eV/cell; space-group type = No. 221; magnetic moment = 11.85 μB per formula unit; formation enthalpy at 0 K = 0.820 eV per atom
1.0
4.589 0.000 0.000
0.000 4.589 0.000
0.000 0.000 4.589
Mn Cd Cu
3 1 1
Direct
0.000 0.000 0.500
0.000 0.500 0.000
0.500 0.000 0.000
0.500 0.500 0.500
0.000 0.000 0.000

=====

[6]
Pa3S PBE relaxed; DOS(E_F) = 16.3 states/eV/cell; raw formation energy = -0.497 eV/atom; space-group type = No. 44; magnetic moment = 0.00 μB per formula unit
1.0
3.302 0.000 0.000
0.000 8.831 0.000
0.000 0.000 6.223
Pa S
6 2
Direct
0.000 0.000 0.000
0.000 0.198 0.607
0.000 0.802 0.607
0.500 0.302 0.107
0.500 0.500 0.500
0.500 0.698 0.107
0.000 0.500 0.865
0.500 0.000 0.365

=====

[7]
La4MgBr PBE relaxed; DOS(E_F) = 10.0 states/eV/cell; raw formation energy = 0.143 eV/atom; space-group type = No. 216; magnetic moment = 0.94 μB per formula unit
1.0
0.000 4.702 4.702
4.702 0.000 4.702
4.702 4.702 0.000
La Mg Br
4 1 1
Direct
0.121 0.121 0.121
0.121 0.121 0.636
0.121 0.636 0.121
0.636 0.121 0.121
0.750 0.750 0.750
0.500 0.500 0.500

=====

[8]
K4SnBr6 PBE relaxed; DOS(E_F) = 0.0 states/eV/cell; raw formation energy = -1.478 eV/atom; space-group type = No. 167; magnetic moment = 0.00 μB per formula unit
1.0
6.586 3.802 5.353
-6.586 3.802 5.353
0.000 -7.604 5.353
K Sn Br
8 2 12
Direct
0.131 0.750 0.369
0.250 0.250 0.250
0.250 0.631 0.869
0.369 0.131 0.750
0.631 0.869 0.250
0.750 0.369 0.131
0.750 0.750 0.750
0.869 0.250 0.631
0.000 0.000 0.000
0.500 0.500 0.500
0.056 0.927 0.692
0.073 0.308 0.944
0.192 0.427 0.556
0.308 0.944 0.073
0.427 0.556 0.192
0.444 0.808 0.573
0.556 0.192 0.427
0.573 0.444 0.808
0.692 0.056 0.927
0.808 0.573 0.444
0.927 0.692 0.056
0.944 0.073 0.308

=====

Question: DOS(E_F) of number 4 (YErAlRh)?
Answer: 10.5 states/eV/cell